# PBE Na2AlSn2, optimized geometry
# ρ ... 3.82 g cm⁻³
# Energy relative to the lowest polymorph listed for this composition ... 0.000 eV per formula unit
data_Na2AlSn2
_cell_length_a 6.181
_cell_length_b 13.953
_cell_length_c 6.259
_cell_angle_alpha 90.00
_cell_angle_beta 90.00
_cell_angle_gamma 90.00
_space_group_name_H-M_alt 'I b a m'
_space_group_IT_number 72
_space_group_name_Hall '-I 2 2c'
loop_
_atom_site_label
_atom_site_fract_x
_atom_site_fract_y
_atom_site_fract_z
Na1 0.198 0.181 0.000
Al1 0.000 0.000 0.250
Sn1 0.168 0.418 0.000


# PBE CaTb12Pr7, optimized geometry
# ρ ... 6.49 g cm⁻³
# Uncorrected energy ... -3.963 eV per atom
data_CaTb12Pr7
_cell_length_a 11.448
_cell_length_b 11.448
_cell_length_c 11.448
_cell_angle_alpha 90.00
_cell_angle_beta 90.00
_cell_angle_gamma 90.00
_space_group_name_H-M_alt 'I m -3'
_space_group_IT_number 204
_space_group_name_Hall '-I 2 2 3'
loop_
_atom_site_label
_atom_site_fract_x
_atom_site_fract_y
_atom_site_fract_z
Ca1 0.000 0.000 0.000
Tb1 0.000 0.254 0.253
Pr1 0.000 0.000 0.500
Pr2 0.250 0.250 0.250